Entry 1:
Here is a relaxed BaTcW2 crystal from Alexandria via LeMat-Bulk. Energies are from PBE-GGA.

Properties
calculated formation energy	1.6412	eV per atom
offset from the most stable computed form	873	meV/atom
space-group type	P4/mmm, No. 123
total DFT energy (no corrections)	-7.9076	eV/atom

a b c (Å): 4.8725 4.8725 3.1864
angles (deg): 90.00 90.00 90.00
Last column: nearest neighbours and their distance in Å.
Fractional positions:
Ba (0.0000, 0.0000, 0.0000)  8 W 2.91, 2 Ba 3.19
Tc (0.5000, 0.5000, 0.0000)  8 W 2.91, 2 Tc 3.19
W (0.0000, 0.5000, 0.5000)  4 Ba 2.91, 4 Tc 2.91, 2 W 3.19
W (0.5000, 0.0000, 0.5000)  4 Ba 2.91, 4 Tc 2.91, 2 W 3.19


Entry 2:
Here is a relaxed BaTcW2 crystal from Alexandria via LeMat-Bulk. Energies are from PBE-GGA.

Properties
calculated formation energy	1.6753	eV per atom
offset from the most stable computed form	907	meV/atom
space-group type	P4/mmm, No. 123
total DFT energy (no corrections)	-7.8735	eV/atom

a b c (Å): 3.9011 3.9011 5.2581
angles (deg): 90.00 90.00 90.00
Last column: nearest neighbours and their distance in Å.
Fractional positions:
Ba (0.0000, 0.0000, 0.0000)  4 Tc 2.76
Tc (0.5000, 0.5000, 0.0000)  4 Ba 2.76
W (0.0000, 0.5000, 0.5000)  4 W 2.76
W (0.5000, 0.0000, 0.5000)  4 W 2.76


Entry 3:
Here is a relaxed BaTcW2 crystal from Alexandria via LeMat-Bulk. Energies are from PBE-GGA.

Properties
calculated formation energy	1.1023	eV per atom
offset from the most stable computed form	334	meV/atom
space-group type	R-3m, No. 166
total DFT energy (no corrections)	-8.4465	eV/atom

a b c (Å): 3.0832 3.0832 30.1626
angles (deg): 90.00 90.00 120.00
Last column: nearest neighbours and their distance in Å.
Fractional positions:
Ba (0.0000, 0.0000, 0.0000)  6 Ba 3.08
Ba (0.3333, 0.6667, 0.6667)  6 Ba 3.08
Ba (0.6667, 0.3333, 0.3333)  6 Ba 3.08
Tc (0.0000, 0.0000, 0.5000)  6 W 2.62
Tc (0.3333, 0.6667, 0.1667)  6 W 2.62
Tc (0.6667, 0.3333, 0.8333)  6 W 2.62
W (0.0000, 0.0000, 0.2305)  3 Tc 2.62
W (0.0000, 0.0000, 0.7695)  3 Tc 2.62
W (0.3333, 0.6667, 0.4361)  3 Tc 2.62
W (0.3333, 0.6667, 0.8972)  3 Tc 2.62
W (0.6667, 0.3333, 0.1028)  3 Tc 2.62
W (0.6667, 0.3333, 0.5639)  3 Tc 2.62


Entry 4:
Here is a relaxed BaTcW2 crystal from Alexandria via LeMat-Bulk. Energies are from PBE-GGA.

Properties
calculated formation energy	0.9126	eV per atom
offset from the most stable computed form	144	meV/atom
space-group type	Cm, No. 8
total DFT energy (no corrections)	-8.6362	eV/atom

a b c (Å): 9.6432 3.2059 6.4614
angles (deg): 90.00 102.97 90.00
Last column: nearest neighbours and their distance in Å.
Fractional positions:
Ba (0.0000, 0.0000, 0.0000)  2 Ba 3.21, 3 W 3.48-3.57, 3 Tc 3.55
Ba (0.5000, 0.5000, 0.0000)  2 Ba 3.21, 3 W 3.48-3.57, 3 Tc 3.55
Tc (0.2225, 0.0000, 0.6303)  4 W 2.49-2.59
Tc (0.7225, 0.5000, 0.6303)  4 W 2.49-2.59
W (0.0082, 0.5000, 0.5090)  2 Tc 2.59, 2 W 2.61
W (0.2929, 0.5000, 0.3776)  2 Tc 2.49, 2 W 2.61
W (0.5082, 0.0000, 0.5090)  2 Tc 2.59, 2 W 2.61
W (0.7929, 0.0000, 0.3776)  2 Tc 2.49, 2 W 2.61


Entry 5:
Here is a relaxed BaTcW2 crystal from Alexandria via LeMat-Bulk. Energies are from PBE-GGA.

Properties
calculated formation energy	0.8889	eV per atom
offset from the most stable computed form	121	meV/atom
space-group type	Cmm2, No. 35
total DFT energy (no corrections)	-8.6599	eV/atom

a b c (Å): 3.3246 4.8079 9.9742
angles (deg): 90.00 90.00 90.00
Last column: nearest neighbours and their distance in Å.
Fractional positions:
Ba (0.0000, 0.0000, 0.0000)  4 Ba 2.92
Ba (0.5000, 0.5000, 0.0000)  4 Ba 2.92
Tc (0.0000, 0.5000, 0.2881)  2 W 2.60
Tc (0.5000, 0.0000, 0.2881)  2 W 2.60
W (0.0000, 0.0000, 0.4886)  2 Tc 2.60, 2 W 2.67
W (0.0000, 0.5000, 0.6976)  6 W 2.67-2.92
W (0.5000, 0.0000, 0.6976)  6 W 2.67-2.92
W (0.5000, 0.5000, 0.4886)  2 Tc 2.60, 2 W 2.67


Entry 6:
Here is a relaxed Ba4Tc2W crystal from Alexandria via LeMat-Bulk. Energies are from PBE-GGA.

Properties
calculated formation energy	1.4085	eV per atom
space-group type	I4/mmm, No. 139
total DFT energy (no corrections)	-4.5024	eV/atom

a b c (Å): 6.5248 6.5248 14.8301
angles (deg): 90.00 90.00 90.00
Last column: nearest neighbours and their distance in Å.
Fractional positions:
Ba (0.0000, 0.0000, 0.2080)  1 W 3.08, 1 Tc 3.26
Ba (0.0000, 0.0000, 0.7920)  1 W 3.08, 1 Tc 3.26
Ba (0.0000, 0.5000, 0.0000)  2 W 3.26, 4 Tc 3.43
Ba (0.0000, 0.5000, 0.5000)  2 W 3.26, 4 Tc 3.43
Ba (0.5000, 0.0000, 0.0000)  2 W 3.26, 4 Tc 3.43
Ba (0.5000, 0.0000, 0.5000)  2 W 3.26, 4 Tc 3.43
Ba (0.5000, 0.5000, 0.2920)  1 W 3.08, 1 Tc 3.26
Ba (0.5000, 0.5000, 0.7080)  1 W 3.08, 1 Tc 3.26
Tc (0.0000, 0.0000, 0.4279)  1 Tc 2.14
Tc (0.0000, 0.0000, 0.5721)  1 Tc 2.14
Tc (0.5000, 0.5000, 0.0721)  1 Tc 2.14
Tc (0.5000, 0.5000, 0.9279)  1 Tc 2.14
W (0.0000, 0.0000, 0.0000)  6 Ba 3.08-3.26
W (0.5000, 0.5000, 0.5000)  6 Ba 3.08-3.26


Entry 7:
Here is a relaxed BaTcW2 crystal from Alexandria via LeMat-Bulk. Energies are from PBE-GGA.

Properties
calculated formation energy	1.6431	eV per atom
offset from the most stable computed form	875	meV/atom
space-group type	I4/mmm, No. 139
total DFT energy (no corrections)	-7.9057	eV/atom

a b c (Å): 3.9297 3.9297 10.2934
angles (deg): 90.00 90.00 90.00
Last column: nearest neighbours and their distance in Å.
Fractional positions:
Ba (0.0000, 0.0000, 0.0000)  4 Tc 2.78
Ba (0.5000, 0.5000, 0.5000)  4 Tc 2.78
Tc (0.0000, 0.0000, 0.5000)  4 Ba 2.78
Tc (0.5000, 0.5000, 0.0000)  4 Ba 2.78
W (0.0000, 0.5000, 0.2500)  4 W 2.78
W (0.0000, 0.5000, 0.7500)  4 W 2.78
W (0.5000, 0.0000, 0.2500)  4 W 2.78
W (0.5000, 0.0000, 0.7500)  4 W 2.78


Entry 8:
Here is a relaxed BaTcW2 crystal from Alexandria via LeMat-Bulk. Energies are from PBE-GGA.

Properties
calculated formation energy	0.8501	eV per atom
offset from the most stable computed form	82	meV/atom
space-group type	Pm, No. 6
total DFT energy (no corrections)	-8.6987	eV/atom

a b c (Å): 2.9879 4.1925 7.4134
angles (deg): 90.00 99.37 90.00
Last column: nearest neighbours and their distance in Å.
Fractional positions:
Ba (0.0000, 0.0000, 0.0000)  2 Ba 2.99
Tc (0.7899, 0.5000, 0.3421)  3 W 2.41-2.58
W (0.1992, 0.5000, 0.6506)  1 Tc 2.41, 2 W 2.64
W (0.4978, 0.0000, 0.4884)  2 Tc 2.58, 2 W 2.64


Entry 9:
Here is a relaxed BaTcW2 crystal from Alexandria via LeMat-Bulk. Energies are from PBE-GGA.

Properties
calculated formation energy	0.9858	eV per atom
offset from the most stable computed form	218	meV/atom
space-group type	Cmmm, No. 65
total DFT energy (no corrections)	-8.5629	eV/atom

a b c (Å): 3.3305 4.7648 10.1118
angles (deg): 90.00 90.00 90.00
Last column: nearest neighbours and their distance in Å.
Fractional positions:
Ba (0.0000, 0.0000, 0.0000)  4 Ba 2.91
Ba (0.5000, 0.5000, 0.0000)  4 Ba 2.91
Tc (0.0000, 0.0000, 0.5000)  4 W 2.61, 4 Tc 2.91
Tc (0.5000, 0.5000, 0.5000)  4 W 2.61, 4 Tc 2.91
W (0.0000, 0.5000, 0.3008)  2 Tc 2.61, 4 W 2.91
W (0.0000, 0.5000, 0.6992)  2 Tc 2.61, 4 W 2.91
W (0.5000, 0.0000, 0.3008)  2 Tc 2.61, 4 W 2.91
W (0.5000, 0.0000, 0.6992)  2 Tc 2.61, 4 W 2.91


Entry 10:
Here is a relaxed BaTcW4 crystal from Alexandria via LeMat-Bulk. Energies are from PBE-GGA.

Properties
calculated formation energy	1.0906	eV per atom
space-group type	F-43m, No. 216
total DFT energy (no corrections)	-9.5929	eV/atom

a b c (Å): 5.4801 5.4801 5.4801
angles (deg): 60.00 60.00 60.00
Last column: nearest neighbours and their distance in Å.
Fractional positions:
Ba (0.0000, 0.0000, 0.0000)  12 W 3.21, 4 Tc 3.36
Tc (0.7500, 0.7500, 0.7500)  12 W 3.21, 4 Ba 3.36
W (0.3754, 0.3754, 0.3754)  6 W 2.73-2.75
W (0.3754, 0.3754, 0.8737)  6 W 2.73-2.75
W (0.3754, 0.8737, 0.3754)  6 W 2.73-2.75
W (0.8737, 0.3754, 0.3754)  6 W 2.73-2.75


Entry 11:
Here is a relaxed BaTcW2 crystal from Alexandria via LeMat-Bulk. Energies are from PBE-GGA.

Properties
calculated formation energy	0.8547	eV per atom
offset from the most stable computed form	87	meV/atom
space-group type	P2/m, No. 10
total DFT energy (no corrections)	-8.6940	eV/atom

a b c (Å): 3.0568 3.7973 7.9437
angles (deg): 90.00 92.81 90.00
Last column: nearest neighbours and their distance in Å.
Fractional positions:
Ba (0.0000, 0.0000, 0.0000)  2 Ba 3.06
Tc (0.0000, 0.0000, 0.5000)  8 W 2.60-2.85
W (0.4480, 0.5000, 0.6515)  1 W 2.44, 2 Tc 2.60
W (0.5520, 0.5000, 0.3485)  1 W 2.44, 2 Tc 2.60


Entry 12:
Here is a relaxed BaTc2W2 crystal from Alexandria via LeMat-Bulk. Energies are from PBE-GGA.

Properties
calculated formation energy	0.6683	eV per atom
offset from the most stable computed form	221	meV/atom
space-group type	P4/mbm, No. 127
total DFT energy (no corrections)	-9.0439	eV/atom

a b c (Å): 8.0705 8.0705 2.9619
angles (deg): 90.00 90.00 90.00
Last column: nearest neighbours and their distance in Å.
Fractional positions:
Ba (0.0000, 0.0000, 0.0000)  2 Ba 2.96, 4 Tc 3.11
Ba (0.5000, 0.5000, 0.0000)  2 Ba 2.96, 4 Tc 3.11
Tc (0.1421, 0.3579, 0.0000)  6 W 2.68-2.95, 2 Tc 2.96
Tc (0.3579, 0.8579, 0.0000)  6 W 2.68-2.95, 2 Tc 2.96
Tc (0.6421, 0.1421, 0.0000)  6 W 2.68-2.95, 2 Tc 2.96
Tc (0.8579, 0.6421, 0.0000)  6 W 2.68-2.95, 2 Tc 2.96
W (0.1339, 0.6339, 0.5000)  6 Tc 2.68-2.95, 2 W 2.96
W (0.3661, 0.1339, 0.5000)  6 Tc 2.68-2.95, 2 W 2.96
W (0.6339, 0.8661, 0.5000)  6 Tc 2.68-2.95, 2 W 2.96
W (0.8661, 0.3661, 0.5000)  6 Tc 2.68-2.95, 2 W 2.96